Entry from Alexandria via LeMat-Bulk: a PBEsol-optimized structure of CuP2Ru (meta-GGA SCAN).

a = 2.7705 Å, b = 2.8007 Å, c = 7.8515 Å
α = 90.00°, β = 90.00°, γ = 119.64°
Positions (direct):
P1 0.0000 0.0000 0.7466
P2 0.0000 0.0000 0.2534
Ru1 0.5000 0.0000 0.5000
Cu1 0.5000 0.0000 0.0000

* ρ: 7.11 Mg/m³
* ΔE to the lowest computed polymorph: 368 meV/atom
* calculated total energy: -17.39 eV per atom

Entry from Alexandria via LeMat-Bulk: a PBEsol-optimized structure of NaP3Se (meta-GGA SCAN).

a = 4.8083 Å, b = 4.8083 Å, c = 4.8083 Å
α = 90.00°, β = 90.00°, γ = 90.00°
Positions (direct):
P1 0.0000 0.0000 0.5000
P2 0.0000 0.5000 0.0000
P3 0.5000 0.0000 0.0000
Se1 0.0000 0.0000 0.0000
Na1 0.5000 0.5000 0.5000

* formation energy (no corrections): 862 meV per atom
* ρ: 2.91 Mg/m³
* calculated total energy: -10.24 eV per atom

Entry from Alexandria via LeMat-Bulk: a PBEsol-optimized structure of Ba2TlSe (meta-GGA SCAN).

a = 4.5181 Å, b = 5.0598 Å, c = 6.7659 Å
α = 90.00°, β = 90.00°, γ = 90.00°
Positions (direct):
Ba1 0.3715 0.0000 0.5000
Ba2 0.8783 0.5000 0.0000
Se1 0.3795 0.0000 0.0000
Tl1 0.8706 0.5000 0.5000

* formation energy (no corrections): -1164 meV per atom
* ρ: 5.99 Mg/m³
* calculated total energy: -44.05 eV per atom

Entry from Alexandria via LeMat-Bulk: a PBEsol-optimized structure of Zr2ZnCd (meta-GGA SCAN).

a = 4.3205 Å, b = 4.3205 Å, c = 5.1215 Å
α = 114.95°, β = 114.95°, γ = 90.00°
Positions (direct):
Cd1 0.5000 0.5000 0.0000
Zr1 0.2500 0.7500 0.5000
Zr2 0.7500 0.2500 0.5000
Zn1 0.0000 0.0000 0.0000

* ρ: 7.80 Mg/m³
* ΔE to the lowest computed polymorph: 22 meV/atom
* calculated total energy: -26.56 eV per atom

Look up the ρ of the fourth one.
7.80 Mg/m³

What is the formula in the fourth record?
Zr2ZnCd